No. 1
Density functional theory data (PBE) for Sc2BeN after structural relaxation.

Output
* crystal system: trigonal
* space group: No. 166
* energy relative to the elements, uncorrected: -378 meV per atom
* energy relative to the lowest polymorph listed for this composition: 0.107 eV per atom
* DOS(E_F): 3.76 states/eV/cell

Lattice parameters (Å, degrees): 8.0840 8.0840 8.0840 22.51 22.51 22.51
Fractional coordinates of all 4 atoms:
Sc: 0.1157 0.1157 0.1157
Sc: 0.8843 0.8843 0.8843
Be: 0.0000 0.0000 0.0000
N: 0.5000 0.5000 0.5000

***

No. 2
Density functional theory data (PBE) for ScBeN3 after structural relaxation.

Output
* crystal system: cubic
* space group: No. 221
* energy relative to the elements, uncorrected: 252 meV per atom
* DOS(E_F): 3.21 states/eV/cell

Lattice parameters (Å, degrees): 3.4846 3.4846 3.4846 90.00 90.00 90.00
Fractional coordinates of all 5 atoms:
Sc: 0.0000 0.0000 0.0000
Be: 0.5000 0.5000 0.5000
N: 0.0000 0.5000 0.5000
N: 0.5000 0.0000 0.5000
N: 0.5000 0.5000 0.0000

***

No. 3
Density functional theory data (PBE) for ScBeN2 after structural relaxation.

Output
* crystal system: tetragonal
* space group: No. 122
* energy relative to the elements, uncorrected: -722 meV per atom
* DOS(E_F): 1.29 states/eV/cell

Lattice parameters (Å, degrees): 5.6713 5.6713 5.6713 136.22 136.22 63.64
Fractional coordinates of all 8 atoms:
Sc: 0.0000 0.0000 0.0000
Sc: 0.7500 0.2500 0.5000
Be: 0.2500 0.7500 0.5000
Be: 0.5000 0.5000 0.0000
N: 0.1966 0.6250 0.0716
N: 0.3750 0.4466 0.5716
N: 0.5534 0.1250 0.9284
N: 0.8750 0.8034 0.4284